The following is a DFT calculation (PBE) of TlPNF2 after structural relaxation.

Unit cell a=4.431 b=4.431 c=4.537 alpha=90.00 beta=90.00 gamma=90.00
Atoms (fractional coordinates):
Tl 0.000 0.000 0.000
P 0.500 0.500 0.500
N 0.000 0.000 0.500
F 0.000 0.500 0.000
F 0.500 0.000 0.000

Calculated values
N(E_F): 1.87 states/eV per cell
Symmetry: P4/mmm, No. 123
Excess energy over the best structure of this formula in the dataset: 1085 meV per atom
Formation energy without anion corrections: 8.4 kcal/mol of atoms
Electronic total energy: -18.0 eV/f.u.